An optimized crystal structure of MnS2NF, computed with GGA+U.

POSCAR file:
```
MnS2NF
1.0
4.3697 0.0000 0.0000
0.0000 4.3697 0.0000
0.0000 0.0000 3.6946
Mn S N F
1 2 1 1
direct
0.0000 0.0000 0.0000
0.0000 0.5000 0.5000
0.5000 0.0000 0.5000
0.5000 0.5000 0.0000
0.5000 0.5000 0.5000
```

Output
crystal system: tetragonal
relative energy among the computed polymorphs: 102.8 kJ/mol of atoms
size of the total moment: 1.3 μB/cell
space group: P4/mmm, No. 123